# Tl2HgPb8

A geometry-optimized Tl2HgPb8 structure (PBE-GGA, Alexandria via LeMat-Bulk).

Values from the calculation:
Calculated density ... 11.06 g cm⁻³
Magnetization ... 0.00 μB/f.u.
Formation energy from the elements ... 1.9 kJ/mol of atoms
Space-group type ... C2/m, No. 12
DFT total energy ... -3.14 eV/atom

```
11
Lattice="-4.882 -0.334 3.037 -1.841 -5.090 -3.518 6.447 -5.691 4.278" Properties=species:S:1:pos:R:3 pbc="T T T"
Pb -2.559 -3.493 0.963
Pb 2.466 -4.354 3.486
Pb 0.807 -2.595 1.013
Pb -1.034 -4.280 -2.133
Pb -1.082 -8.521 2.784
Pb -2.741 -6.761 0.311
Pb 2.284 -7.623 2.834
Pb 0.759 -6.835 5.930
Tl 0.628 -5.951 0.356
Tl -0.903 -5.164 3.441
Hg -2.441 -0.167 1.518
```



# Tl12Hg5Pb3

A geometry-optimized Tl12Hg5Pb3 structure (PBE-GGA, Alexandria via LeMat-Bulk).

Values from the calculation:
Calculated density ... 9.00 g cm⁻³
Magnetization ... 0.00 μB/f.u.
Formation energy from the elements ... 11.3 kJ/mol of atoms
Space-group type ... Ia-3d, No. 230
DFT total energy ... -1.93 eV/atom

```
80
Lattice="15.754 0.000 0.000 -5.251 14.853 0.000 -5.251 -7.427 12.863" Properties=species:S:1:pos:R:3 pbc="T T T"
Pb 9.190 4.642 1.608
Pb 9.190 10.212 1.608
Pb -1.313 6.498 8.040
Pb 1.313 -0.928 4.824
Pb 11.816 0.000 3.216
Pb 1.313 7.427 3.216
Pb 3.939 0.000 9.648
Pb -6.564 7.427 9.648
Pb 3.939 8.355 8.040
Pb 6.564 0.928 4.824
Pb -3.939 -2.785 11.255
Pb -3.939 2.785 11.255
Hg -1.313 3.713 3.216
Hg -2.626 7.427 0.000
Hg 0.000 0.000 0.000
Hg 3.939 2.785 1.608
Hg 5.251 -3.713 6.432
Hg 5.251 7.427 0.000
Hg -3.939 8.355 4.824
Hg 6.564 -4.642 11.255
Hg 6.564 6.498 4.824
Hg 1.313 -3.713 9.648
Hg 3.939 11.140 3.216
Hg 2.626 3.713 6.432
Hg 7.877 0.000 0.000
Hg -2.626 -3.713 6.432
Hg -1.313 0.928 8.040
Hg -1.313 12.068 1.608
Hg -5.251 3.713 6.432
Hg 9.190 -0.928 8.040
Hg 1.313 4.642 11.255
Hg 6.564 3.713 9.648
Tl 10.392 1.610 0.763
Tl 0.111 5.179 5.418
Tl 11.477 3.337 3.532
Tl 6.903 2.323 1.776
Tl 1.946 5.828 8.568
Tl 10.908 7.363 2.137
Tl -0.975 8.441 5.308
Tl -4.277 12.531 1.776
Tl 0.680 9.026 8.568
Tl 7.472 7.490 2.137
Tl 7.988 3.858 4.656
Tl 7.988 13.243 0.763
Tl -4.571 6.621 7.194
Tl 3.031 5.608 1.123
Tl -5.363 10.995 4.656
Tl 2.737 -2.248 7.445
Tl -0.680 0.793 2.899
Tl 3.031 9.309 1.013
Tl 6.903 11.517 3.532
Tl -0.406 5.544 1.013
Tl -3.306 8.220 9.964
Tl 3.600 6.413 5.308
Tl 7.197 8.232 7.194
Tl 5.657 -1.819 11.740
Tl 1.651 1.014 7.555
Tl -1.946 -0.806 5.669
Tl -0.406 9.245 1.123
Tl -1.651 -4.090 9.331
Tl 8.557 -0.793 2.899
Tl 5.657 1.882 11.850
Tl 2.220 -1.882 11.850
Tl 2.515 9.674 5.418
Tl 5.932 6.633 9.964
Tl 10.614 -3.569 8.208
Tl 9.823 0.806 5.669
Tl -2.737 -5.816 12.101
Tl 2.220 1.819 11.740
Tl 4.571 -1.599 4.295
Tl -2.220 -0.064 10.727
Tl -2.737 3.569 8.208
Tl 9.528 -5.104 11.087
Tl 6.226 -1.014 7.555
Tl -1.651 5.104 11.087
Tl -5.657 0.064 10.727
Tl 3.306 1.599 4.295
Tl -6.226 4.090 9.331
Tl 5.140 2.248 7.445
Tl -5.140 5.816 12.101
```



# TlHg2Pb6

A geometry-optimized TlHg2Pb6 structure (PBE-GGA, Alexandria via LeMat-Bulk).

Values from the calculation:
Calculated density ... 11.27 g cm⁻³
Magnetization ... 0.00 μB/f.u.
Formation energy from the elements ... 1.4 kJ/mol of atoms
Space-group type ... C2/m, No. 12
DFT total energy ... -2.79 eV/atom
Offset from the most stable computed form ... 0.0 meV/atom

```
9
Lattice="-0.801 -3.057 -1.505 6.836 -3.966 0.346 2.375 -7.087 9.061" Properties=species:S:1:pos:R:3 pbc="T T T"
Tl 0.000 0.000 0.000
Hg 1.024 -3.026 1.531
Hg 7.385 -11.084 6.371
Pb 3.485 -5.017 0.194
Pb 4.924 -9.093 7.708
Pb 6.370 -8.045 4.809
Pb 4.620 -8.093 1.768
Pb 3.790 -6.016 6.134
Pb 2.039 -6.065 3.093
```



# TlHg7Pb2

A geometry-optimized TlHg7Pb2 structure (PBE-GGA, Alexandria via LeMat-Bulk).

Values from the calculation:
Calculated density ... 11.95 g cm⁻³
Magnetization ... 0.00 μB/f.u.
Formation energy from the elements ... 3.8 kJ/mol of atoms
Space-group type ... Cmmm, No. 65
DFT total energy ... -1.15 eV/atom

```
10
Lattice="-1.229 -1.954 -2.401 4.177 -4.223 1.299 -10.780 -3.669 8.502" Properties=species:S:1:pos:R:3 pbc="T T T"
Tl 0.000 0.000 0.000
Hg -3.280 -5.683 6.302
Hg -3.323 -2.210 3.499
Hg -6.521 -6.665 6.450
Hg -1.311 -3.181 0.949
Hg 0.789 -5.304 1.602
Hg -8.621 -4.542 5.797
Hg 1.474 -3.088 -0.551
Pb -2.068 -5.444 3.177
Pb -5.764 -4.402 4.222
```